Entry 1:
RbTh2Te6Au2 | GGA-PBE | relaxed

Structure (POSCAR):
```
RbTh2Te6Au2
1.0
8.2628 0.0000 0.0000
-3.9659 7.4478 0.0000
-3.8175 -2.3918 7.1967
Rb Th Te Au
1 2 6 2
Cartesian
0.0000 0.0000 0.0000 Rb
-3.7040 2.5346 7.1210 Th
4.1835 2.5215 0.0756 Th
-2.3822 4.4949 1.7741 Te
-4.5137 5.1210 5.4939 Te
-1.0760 2.2607 5.3988 Te
1.5555 2.7954 1.7979 Te
4.9931 -0.0649 1.7028 Te
2.8616 0.5612 5.4226 Te
-2.9731 0.8701 4.1940 Au
3.4525 4.1859 3.0027 Au
```

Calculated values
spin magnetization: 0.00 μB per cell
space group: P-1 (2)
V: 40.26 Å³/atom
D(E_F): 6.07 states/eV per cell
E: -4.486 eV/atom

Entry 2:
Rb2ThTe4Au2 | GGA-PBE | relaxed

Structure (POSCAR):
```
Rb2ThTe4Au2
1.0
9.5925 -2.3174 0.0000
9.5925 2.3174 0.0000
-3.6746 0.0000 7.5838
Rb Th Te Au
2 1 4 2
Cartesian
2.1967 0.0000 1.1650 Rb
13.3138 0.0000 6.4188 Rb
-1.8373 0.0000 3.7919 Th
0.9022 0.0000 5.5334 Te
8.7193 0.0000 1.8001 Te
6.7912 0.0000 5.7838 Te
14.6082 0.0000 2.0505 Te
5.3739 0.0000 3.4304 Au
10.1365 0.0000 4.1534 Au
```

Calculated values
spin magnetization: 0.00 μB per cell
space group: C2/m (12)
V: 37.46 Å³/atom
E: -4.054 eV/atom